# LiB3H8

A geometry-optimized LiB3H8 structure (GGA-PBEsol, Alexandria via LeMat-Bulk).

a = 5.794 Å, b = 5.794 Å, c = 5.713 Å
α = 90.00°, β = 90.00°, γ = 97.05°
Sites, in units of the cell vectors:
Li  0.060  0.940  0.750
Li  0.940  0.060  0.250
B  0.199  0.801  0.096
B  0.199  0.801  0.404
B  0.377  0.623  0.250
B  0.623  0.377  0.750
B  0.801  0.199  0.596
B  0.801  0.199  0.904
H  0.009  0.720  0.020
H  0.009  0.720  0.480
H  0.280  0.991  0.020
H  0.280  0.991  0.480
H  0.318  0.415  0.250
H  0.333  0.667  0.006
H  0.333  0.667  0.494
H  0.415  0.318  0.750
H  0.585  0.682  0.250
H  0.667  0.333  0.506
H  0.667  0.333  0.994
H  0.682  0.585  0.750
H  0.720  0.009  0.520
H  0.720  0.009  0.980
H  0.991  0.280  0.520
H  0.991  0.280  0.980

## Properties
As for the total DFT energy (no corrections): -4.283 eV/atom. For the density of states at the Fermi level, the calculation gives 0.000 states/eV/atom. The value obtained for the mass density is 0.83 g cm⁻³. For the total magnetization, the calculation gives 0.000 μB per atom.

# RbLiMgB4H16

A geometry-optimized RbLiMgB4H16 structure (GGA-PBEsol, Alexandria via LeMat-Bulk).

a = 8.065 Å, b = 7.669 Å, c = 7.669 Å
α = 74.72°, β = 90.00°, γ = 90.00°
Sites, in units of the cell vectors:
Rb  0.000  0.000  0.000
Rb  0.500  0.500  0.500
Li  0.000  0.357  0.357
Li  0.500  0.857  0.857
Mg  0.000  0.643  0.643
Mg  0.500  0.143  0.143
B  0.105  0.673  0.337
B  0.246  0.750  0.758
B  0.254  0.250  0.258
B  0.395  0.173  0.837
B  0.605  0.837  0.173
B  0.746  0.258  0.250
B  0.754  0.758  0.750
B  0.895  0.337  0.673
H  0.018  0.786  0.386
H  0.021  0.615  0.231
H  0.131  0.852  0.688
H  0.134  0.293  0.158
H  0.149  0.548  0.466
H  0.216  0.587  0.774
H  0.229  0.750  0.264
H  0.233  0.263  0.412
H  0.267  0.763  0.912
H  0.271  0.250  0.764
H  0.284  0.087  0.274
H  0.351  0.048  0.966
H  0.366  0.793  0.658
H  0.369  0.352  0.188
H  0.479  0.115  0.731
H  0.482  0.286  0.886
H  0.518  0.886  0.286
H  0.521  0.731  0.115
H  0.631  0.188  0.352
H  0.634  0.658  0.793
H  0.649  0.966  0.048
H  0.716  0.274  0.087
H  0.729  0.764  0.250
H  0.733  0.912  0.763
H  0.767  0.412  0.263
H  0.771  0.264  0.750
H  0.784  0.774  0.587
H  0.851  0.466  0.548
H  0.866  0.158  0.293
H  0.869  0.688  0.852
H  0.979  0.231  0.615
H  0.982  0.386  0.786

## Properties
As for the total DFT energy (no corrections): -3.999 eV/atom. For the density of states at the Fermi level, the calculation gives 0.000 states/eV/atom. The value obtained for the mass density is 1.28 g cm⁻³. For the total magnetization, the calculation gives 0.000 μB per atom.

# RbLiMnB4H16

A geometry-optimized RbLiMnB4H16 structure (GGA-PBEsol, Alexandria via LeMat-Bulk).

a = 8.030 Å, b = 7.652 Å, c = 7.652 Å
α = 75.31°, β = 90.00°, γ = 90.00°
Sites, in units of the cell vectors:
Rb  0.000  0.000  0.000
Rb  0.500  0.500  0.500
Li  0.000  0.358  0.358
Li  0.500  0.858  0.858
Mn  0.000  0.642  0.642
Mn  0.500  0.142  0.142
B  0.102  0.674  0.339
B  0.242  0.750  0.759
B  0.258  0.250  0.259
B  0.398  0.174  0.839
B  0.602  0.839  0.174
B  0.742  0.259  0.250
B  0.758  0.759  0.750
B  0.898  0.339  0.674
H  0.008  0.781  0.392
H  0.021  0.613  0.231
H  0.129  0.853  0.685
H  0.135  0.287  0.161
H  0.149  0.549  0.467
H  0.208  0.586  0.778
H  0.224  0.758  0.269
H  0.237  0.266  0.412
H  0.263  0.766  0.912
H  0.276  0.258  0.769
H  0.292  0.086  0.278
H  0.351  0.049  0.967
H  0.365  0.787  0.661
H  0.371  0.353  0.185
H  0.479  0.113  0.731
H  0.492  0.281  0.892
H  0.508  0.892  0.281
H  0.521  0.731  0.113
H  0.629  0.185  0.353
H  0.635  0.661  0.787
H  0.649  0.967  0.049
H  0.708  0.278  0.086
H  0.724  0.769  0.258
H  0.737  0.912  0.766
H  0.763  0.412  0.266
H  0.776  0.269  0.758
H  0.792  0.778  0.586
H  0.851  0.467  0.549
H  0.865  0.161  0.287
H  0.871  0.685  0.853
H  0.979  0.231  0.613
H  0.992  0.392  0.781

## Properties
As for the total DFT energy (no corrections): -4.250 eV/atom. For the density of states at the Fermi level, the calculation gives 0.000 states/eV/atom. The value obtained for the mass density is 1.51 g cm⁻³. For the total magnetization, the calculation gives 0.217 μB per atom.

# Li2BH6N

A geometry-optimized Li2BH6N structure (GGA-PBEsol, Alexandria via LeMat-Bulk).

a = 8.704 Å, b = 8.704 Å, c = 8.704 Å
α = 109.18°, β = 109.18°, γ = 109.18°
Sites, in units of the cell vectors:
Li  0.063  0.882  0.799
Li  0.069  0.553  0.717
Li  0.118  0.201  0.937
Li  0.201  0.937  0.118
Li  0.283  0.931  0.447
Li  0.447  0.283  0.931
Li  0.553  0.717  0.069
Li  0.717  0.069  0.553
Li  0.799  0.063  0.882
Li  0.882  0.799  0.063
Li  0.931  0.447  0.283
Li  0.937  0.118  0.201
B  0.151  0.747  0.579
B  0.253  0.421  0.849
B  0.421  0.849  0.253
B  0.579  0.151  0.747
B  0.747  0.579  0.151
B  0.849  0.253  0.421
H  0.005  0.617  0.947
H  0.013  0.353  0.470
H  0.053  0.995  0.383
H  0.097  0.388  0.829
H  0.160  0.393  0.215
H  0.171  0.903  0.612
H  0.187  0.684  0.456
H  0.215  0.160  0.393
H  0.241  0.278  0.741
H  0.259  0.759  0.722
H  0.278  0.741  0.241
H  0.316  0.544  0.813
H  0.353  0.470  0.013
H  0.383  0.053  0.995
H  0.388  0.829  0.097
H  0.393  0.215  0.160
H  0.456  0.187  0.684
H  0.470  0.013  0.353
H  0.530  0.987  0.647
H  0.544  0.813  0.316
H  0.607  0.785  0.840
H  0.612  0.171  0.903
H  0.617  0.947  0.005
H  0.647  0.530  0.987
H  0.684  0.456  0.187
H  0.722  0.259  0.759
H  0.741  0.241  0.278
H  0.759  0.722  0.259
H  0.785  0.840  0.607
H  0.813  0.316  0.544
H  0.829  0.097  0.388
H  0.840  0.607  0.785
H  0.903  0.612  0.171
H  0.947  0.005  0.617
H  0.987  0.647  0.530
H  0.995  0.383  0.053
N  0.021  0.307  0.118
N  0.118  0.021  0.307
N  0.307  0.118  0.021
N  0.693  0.882  0.979
N  0.882  0.979  0.693
N  0.979  0.693  0.882

## Properties
As for the total DFT energy (no corrections): -4.348 eV/atom. For the density of states at the Fermi level, the calculation gives 0.000 states/eV/atom. The value obtained for the mass density is 0.87 g cm⁻³. For the total magnetization, the calculation gives 0.000 μB per atom.

# LiB2H11N2

A geometry-optimized LiB2H11N2 structure (GGA-PBEsol, Alexandria via LeMat-Bulk).

a = 6.602 Å, b = 14.661 Å, c = 5.084 Å
α = 90.00°, β = 98.67°, γ = 90.00°
Sites, in units of the cell vectors:
Li  0.090  0.082  0.200
Li  0.090  0.418  0.700
Li  0.910  0.582  0.300
Li  0.910  0.918  0.800
B  0.064  0.585  0.769
B  0.064  0.915  0.269
B  0.422  0.149  0.100
B  0.422  0.351  0.600
B  0.578  0.649  0.400
B  0.578  0.851  0.900
B  0.936  0.085  0.731
B  0.936  0.415  0.231
H  0.069  0.203  0.573
H  0.069  0.297  0.073
H  0.087  0.036  0.822
H  0.087  0.464  0.322
H  0.119  0.627  0.578
H  0.119  0.873  0.078
H  0.148  0.673  0.099
H  0.148  0.827  0.599
H  0.205  0.532  0.857
H  0.205  0.968  0.357
H  0.263  0.194  0.096
H  0.263  0.306  0.596
H  0.337  0.090  0.706
H  0.337  0.410  0.206
H  0.407  0.598  0.709
H  0.407  0.902  0.209
H  0.410  0.076  0.217
H  0.410  0.424  0.717
H  0.431  0.693  0.288
H  0.431  0.807  0.788
H  0.455  0.191  0.701
H  0.455  0.309  0.201
H  0.545  0.691  0.799
H  0.545  0.809  0.299
H  0.569  0.193  0.212
H  0.569  0.307  0.712
H  0.590  0.576  0.283
H  0.590  0.924  0.783
H  0.593  0.098  0.791
H  0.593  0.402  0.291
H  0.663  0.590  0.794
H  0.663  0.910  0.294
H  0.737  0.694  0.404
H  0.737  0.806  0.904
H  0.795  0.032  0.643
H  0.795  0.468  0.143
H  0.852  0.173  0.401
H  0.852  0.327  0.901
H  0.881  0.127  0.922
H  0.881  0.373  0.422
H  0.913  0.536  0.678
H  0.913  0.964  0.178
H  0.931  0.703  0.927
H  0.931  0.797  0.427
N  0.015  0.647  0.996
N  0.015  0.853  0.496
N  0.454  0.130  0.804
N  0.454  0.370  0.304
N  0.546  0.630  0.696
N  0.546  0.870  0.196
N  0.985  0.147  0.504
N  0.985  0.353  0.004

## Properties
As for the total DFT energy (no corrections): -4.698 eV/atom. For the density of states at the Fermi level, the calculation gives 0.000 states/eV/atom. The value obtained for the mass density is 0.92 g cm⁻³. For the total magnetization, the calculation gives 0.000 μB per atom.

# NaLiB2H10N2

A geometry-optimized NaLiB2H10N2 structure (GGA-PBEsol, Alexandria via LeMat-Bulk).

a = 5.011 Å, b = 7.064 Å, c = 8.675 Å
α = 102.12°, β = 101.98°, γ = 107.52°
Sites, in units of the cell vectors:
Na  0.151  0.268  0.482
Na  0.849  0.732  0.518
Li  0.479  0.057  0.867
Li  0.521  0.943  0.133
B  0.021  0.125  0.750
B  0.361  0.688  0.699
B  0.639  0.312  0.301
B  0.979  0.875  0.250
H  0.002  0.686  0.027
H  0.034  0.970  0.795
H  0.105  0.575  0.678
H  0.129  0.938  0.396
H  0.159  0.643  0.194
H  0.254  0.167  0.099
H  0.277  0.231  0.757
H  0.361  0.829  0.634
H  0.479  0.582  0.624
H  0.486  0.664  0.942
H  0.514  0.336  0.058
H  0.521  0.418  0.376
H  0.639  0.171  0.366
H  0.723  0.769  0.243
H  0.746  0.833  0.901
H  0.841  0.357  0.806
H  0.871  0.062  0.604
H  0.895  0.425  0.322
H  0.966  0.030  0.205
H  0.998  0.314  0.973
N  0.129  0.760  0.147
N  0.475  0.220  0.114
N  0.525  0.780  0.886
N  0.871  0.240  0.853

## Properties
The calculation puts the excess energy over the best structure of this formula in the dataset at 0.00 eV per formula unit. For the density of states at the Fermi level, the calculation gives 0.000 states/eV/atom. The value obtained for the mass density is 1.09 g cm⁻³. For the total magnetization, the calculation gives 0.000 μB per atom.

# NaLiB2H10N2

A geometry-optimized NaLiB2H10N2 structure (GGA-PBEsol, Alexandria via LeMat-Bulk).

a = 14.160 Å, b = 6.993 Å, c = 5.250 Å
α = 90.00°, β = 90.00°, γ = 90.00°
Sites, in units of the cell vectors:
Na  0.168  0.200  0.000
Na  0.332  0.200  0.500
Na  0.668  0.800  0.000
Na  0.832  0.800  0.500
Li  0.176  0.684  0.361
Li  0.324  0.684  0.861
Li  0.676  0.316  0.361
Li  0.824  0.316  0.861
B  0.137  0.340  0.490
B  0.159  0.813  0.891
B  0.341  0.813  0.391
B  0.363  0.340  0.990
B  0.637  0.660  0.490
B  0.659  0.187  0.891
B  0.841  0.187  0.391
B  0.863  0.660  0.990
H  0.004  0.240  0.638
H  0.036  0.443  0.764
H  0.036  0.734  0.671
H  0.083  0.936  0.581
H  0.112  0.426  0.290
H  0.119  0.886  0.081
H  0.166  0.179  0.424
H  0.185  0.651  0.960
H  0.206  0.429  0.577
H  0.231  0.910  0.849
H  0.269  0.910  0.349
H  0.294  0.429  0.077
H  0.315  0.651  0.460
H  0.334  0.179  0.924
H  0.381  0.886  0.581
H  0.388  0.426  0.790
H  0.417  0.936  0.081
H  0.464  0.443  0.264
H  0.464  0.734  0.171
H  0.496  0.240  0.138
H  0.504  0.760  0.638
H  0.536  0.266  0.671
H  0.536  0.557  0.764
H  0.583  0.064  0.581
H  0.612  0.574  0.290
H  0.619  0.114  0.081
H  0.666  0.821  0.424
H  0.685  0.349  0.960
H  0.706  0.571  0.577
H  0.731  0.090  0.849
H  0.769  0.090  0.349
H  0.794  0.571  0.077
H  0.815  0.349  0.460
H  0.834  0.821  0.924
H  0.881  0.114  0.581
H  0.888  0.574  0.790
H  0.917  0.064  0.081
H  0.964  0.266  0.171
H  0.964  0.557  0.264
H  0.996  0.760  0.138
N  0.062  0.316  0.695
N  0.100  0.801  0.646
N  0.400  0.801  0.146
N  0.438  0.316  0.195
N  0.562  0.684  0.695
N  0.600  0.199  0.646
N  0.900  0.199  0.146
N  0.938  0.684  0.195

## Properties
The calculation puts the excess energy over the best structure of this formula in the dataset at 0.10 eV per formula unit. For the density of states at the Fermi level, the calculation gives 0.000 states/eV/atom. The value obtained for the mass density is 1.15 g cm⁻³. For the total magnetization, the calculation gives 0.000 μB per atom.

# NaLiSiB3HO8

A geometry-optimized NaLiSiB3HO8 structure (GGA-PBEsol, Alexandria via LeMat-Bulk).

a = 6.747 Å, b = 13.850 Å, c = 7.685 Å
α = 90.00°, β = 124.38°, γ = 90.00°
Sites, in units of the cell vectors:
Na  0.026  0.009  0.240
Na  0.026  0.491  0.740
Na  0.974  0.509  0.260
Na  0.974  0.991  0.760
Li  0.456  0.197  0.127
Li  0.456  0.303  0.627
Li  0.544  0.697  0.373
Li  0.544  0.803  0.873
Si  0.051  0.747  0.714
Si  0.051  0.753  0.214
Si  0.949  0.247  0.786
Si  0.949  0.253  0.286
B  0.225  0.152  0.676
B  0.225  0.348  0.176
B  0.326  0.649  0.588
B  0.326  0.851  0.088
B  0.455  0.005  0.709
B  0.455  0.495  0.209
B  0.545  0.505  0.791
B  0.545  0.995  0.291
B  0.674  0.149  0.912
B  0.674  0.351  0.412
B  0.775  0.652  0.824
B  0.775  0.848  0.324
H  0.292  0.615  0.046
H  0.292  0.885  0.546
H  0.708  0.115  0.454
H  0.708  0.385  0.954
O  0.018  0.153  0.697
O  0.018  0.347  0.197
O  0.131  0.658  0.364
O  0.131  0.842  0.864
O  0.181  0.225  0.518
O  0.181  0.275  0.018
O  0.240  0.053  0.608
O  0.240  0.447  0.108
O  0.283  0.714  0.715
O  0.283  0.786  0.215
O  0.325  0.545  0.647
O  0.325  0.955  0.147
O  0.445  0.173  0.878
O  0.445  0.327  0.378
O  0.453  0.592  0.161
O  0.453  0.908  0.661
O  0.547  0.092  0.339
O  0.547  0.408  0.839
O  0.555  0.673  0.622
O  0.555  0.827  0.122
O  0.675  0.045  0.853
O  0.675  0.455  0.353
O  0.717  0.214  0.785
O  0.717  0.286  0.285
O  0.760  0.553  0.892
O  0.760  0.947  0.392
O  0.819  0.725  0.982
O  0.819  0.775  0.482
O  0.869  0.158  0.136
O  0.869  0.342  0.636
O  0.982  0.653  0.803
O  0.982  0.847  0.303

## Properties
As for the total DFT energy (no corrections): -7.409 eV/atom. For the density of states at the Fermi level, the calculation gives 0.000 states/eV/atom. The value obtained for the mass density is 2.46 g cm⁻³. For the total magnetization, the calculation gives 0.003 μB per atom.